{
  "formula": "Sc2SnMo2",
  "functional": "GGA-PBE",
  "state": "optimized geometry",
  "lattice_angstrom": [[7.021, 0.000, 0.000], [0.000, 7.021, 0.000], [0.000, 0.000, 4.208]],
  "species": ["Sn", "Mo", "Sc", "Mo", "Sn", "Sc", "Mo", "Sc", "Mo", "Sc"],
  "frac_coords": [[0.000, 0.000, 0.000], [0.383, 0.883, 0.000], [0.828, 0.328, 0.500], [0.617, 0.117, 0.000], [0.500, 0.500, 0.000], [0.328, 0.172, 0.500], [0.883, 0.617, 0.000], [0.172, 0.672, 0.500], [0.117, 0.383, 0.000], [0.672, 0.828, 0.500]],
  "formation_enthalpy_0k_ev_per_atom": -0.01,
  "final_energy_ev_per_atom": -7.678
}

***

{
  "formula": "LiPrTl2In",
  "functional": "GGA-PBE",
  "state": "optimized geometry",
  "lattice_angstrom": [[6.535, 0.000, 0.000], [0.000, 6.102, 0.000], [0.000, 0.000, 6.537]],
  "species": ["Tl", "Tl", "Tl", "Pr", "In", "Li", "Li", "In", "Tl", "Pr"],
  "frac_coords": [[0.257, 0.750, 0.736], [0.743, 0.250, 0.736], [0.743, 0.250, 0.264], [0.225, 0.250, 0.500], [0.359, 0.250, 0.000], [0.000, 0.000, 0.000], [0.000, 0.500, 0.000], [0.641, 0.750, 0.000], [0.257, 0.750, 0.264], [0.775, 0.750, 0.500]],
  "formation_enthalpy_0k_ev_per_atom": -0.23,
  "final_energy_ev_per_atom": -3.063
}

***

{
  "formula": "Er5Tm12Pu",
  "functional": "GGA-PBE",
  "state": "optimized geometry",
  "lattice_angstrom": [[-3.017, 3.623, 3.808], [-5.679, -1.364, 1.621], [4.878, -7.693, 14.410]],
  "species": ["Tm", "Tm", "Tm", "Tm", "Er", "Er", "Tm", "Tm", "Pu", "Tm", "Er", "Tm", "Tm", "Tm", "Er", "Tm", "Er", "Tm"],
  "frac_coords": [[0.224, 0.333, 0.331], [0.725, 0.000, 0.835], [0.557, 0.667, 0.331], [0.054, 0.330, 0.835], [0.500, 0.000, 0.500], [0.667, 0.667, 0.000], [0.776, 0.667, 0.669], [0.110, 0.000, 0.669], [0.000, 0.000, 0.000], [0.946, 0.670, 0.165], [0.167, 0.667, 0.500], [0.443, 0.333, 0.669], [0.616, 0.330, 0.165], [0.275, 0.000, 0.165], [0.333, 0.333, 0.000], [0.890, 0.000, 0.331], [0.833, 0.333, 0.500], [0.384, 0.670, 0.835]],
  "formation_enthalpy_0k_ev_per_atom": 0.02,
  "final_energy_ev_per_atom": -5.020
}

***

{
  "formula": "ErHCl",
  "functional": "GGA-PBE",
  "state": "optimized geometry",
  "lattice_angstrom": [[6.345, 0.000, 0.000], [0.000, 6.730, 0.437], [0.000, 3.793, 6.341]],
  "species": ["Er", "Er", "Cl", "H", "Er", "H", "Cl", "Cl", "H", "H", "Er", "Cl"],
  "frac_coords": [[0.315, 0.712, 0.316], [0.815, 0.788, 0.184], [0.532, 0.148, 0.105], [0.925, 0.986, 0.856], [0.685, 0.288, 0.684], [0.425, 0.514, 0.644], [0.468, 0.852, 0.895], [0.032, 0.352, 0.395], [0.075, 0.014, 0.144], [0.575, 0.486, 0.356], [0.185, 0.212, 0.816], [0.968, 0.648, 0.605]],
  "final_energy_ev_per_atom": -4.255
}

***

Copy entry 1 word for word.
{
  "formula": "Sc2SnMo2",
  "functional": "GGA-PBE",
  "state": "optimized geometry",
  "lattice_angstrom": [[7.021, 0.000, 0.000], [0.000, 7.021, 0.000], [0.000, 0.000, 4.208]],
  "species": ["Sn", "Mo", "Sc", "Mo", "Sn", "Sc", "Mo", "Sc", "Mo", "Sc"],
  "frac_coords": [[0.000, 0.000, 0.000], [0.383, 0.883, 0.000], [0.828, 0.328, 0.500], [0.617, 0.117, 0.000], [0.500, 0.500, 0.000], [0.328, 0.172, 0.500], [0.883, 0.617, 0.000], [0.172, 0.672, 0.500], [0.117, 0.383, 0.000], [0.672, 0.828, 0.500]],
  "formation_enthalpy_0k_ev_per_atom": -0.01,
  "final_energy_ev_per_atom": -7.678
}